Rb2RhWF6 | PBE with a Hubbard U | optimized geometry

The structure belongs to space group Fm-3m (No. 225); the cell edges are 8.990, 8.990 and 8.990 Å and the angles 90.00°, 90.00° and 90.00°. The distinct sites, in fractional coordinates, are Rb at (0.250, 0.250, 0.250), Rh at (0.000, 0.000, 0.000), W at (0.000, 0.000, 0.500) and F at (0.000, 0.000, 0.265).

Its raw total energy is -0.1816 hartree per atom. As for the crystal system: cubic.